Record 1
DFT (GGA-PBE) results for a geometry-optimized Tc2Ag structure.

Output
The density of states at the Fermi level is 11.4 states/eV/cell. Its symmetry is No. 189. Its energy above the most stable polymorph in this dataset is 345 meV per atom.

CIF file:
```
data_Tc2Ag
_cell_length_a 7.8185
_cell_length_b 7.8185
_cell_length_c 2.6240
_cell_angle_alpha 90.00
_cell_angle_beta 90.00
_cell_angle_gamma 120.00
_symmetry_space_group_name_H-M 'P 1'
_symmetry_Int_Tables_number 1
loop_
_symmetry_equiv_pos_as_xyz
'x,y,z'
loop_
_atom_site_label
_atom_site_type_symbol
_atom_site_fract_x
_atom_site_fract_y
_atom_site_fract_z
Tc1 Tc 0.0000 0.3142 0.0000
Tc2 Tc 0.0000 0.6508 0.5000
Tc3 Tc 0.3142 0.0000 0.0000
Tc4 Tc 0.6858 0.6858 0.0000
Tc5 Tc 0.6508 0.0000 0.5000
Tc6 Tc 0.3492 0.3492 0.5000
Ag1 Ag 0.0000 0.0000 0.5000
Ag2 Ag 0.3333 0.6667 0.0000
Ag3 Ag 0.6667 0.3333 0.0000
```

=====

Record 2
DFT (GGA-PBE) results for a geometry-optimized Tc2Ag structure.

Output
The density of states at the Fermi level is 5.6 states/eV/cell. Its symmetry is No. 194. Its energy above the most stable polymorph in this dataset is 587 meV per atom.

CIF file:
```
data_Tc2Ag
_cell_length_a 4.4884
_cell_length_b 4.4884
_cell_length_c 5.3984
_cell_angle_alpha 90.00
_cell_angle_beta 90.00
_cell_angle_gamma 120.00
_symmetry_space_group_name_H-M 'P 1'
_symmetry_Int_Tables_number 1
loop_
_symmetry_equiv_pos_as_xyz
'x,y,z'
loop_
_atom_site_label
_atom_site_type_symbol
_atom_site_fract_x
_atom_site_fract_y
_atom_site_fract_z
Tc1 Tc 0.0000 0.0000 0.0000
Tc2 Tc 0.0000 0.0000 0.5000
Tc3 Tc 0.3333 0.6667 0.7500
Tc4 Tc 0.6667 0.3333 0.2500
Ag1 Ag 0.3333 0.6667 0.2500
Ag2 Ag 0.6667 0.3333 0.7500
```